# 1
The following is a meta-GGA SCAN calculation of a PBEsol-optimized structure of Sc3SiPb, from Alexandria via LeMat-Bulk.

Calculated values
- raw formation energy (eV per atom) = -0.464
- VASP energy (eV/atom) = -26.1652
- Fermi-level density of states (states/eV per cell) = 2.2
- SG = Pm-3m, No. 221

Cell: 4.9329 4.9329 4.9329 Å, 90.00 90.00 90.00°
Sites, in units of the cell vectors:
Pb  0.5000  0.5000  0.5000
Si  0.0000  0.0000  0.0000
Sc  0.0000  0.5000  0.0000
Sc  0.5000  0.0000  0.0000
Sc  0.0000  0.0000  0.5000

=====

# 2
The following is a meta-GGA SCAN calculation of a PBEsol-optimized structure of TmGePd2, from Alexandria via LeMat-Bulk.

Calculated values
- VASP energy (eV/atom) = -35.1413
- Fermi-level density of states (states/eV per cell) = 4.6
- SG = Pnma, No. 62
- ΔH_f (0 K) (eV/atom) = -1.024

Cell: 5.4738 7.0270 7.2035 Å, 90.00 90.00 90.00°
Sites, in units of the cell vectors:
Pd  0.4135  0.0513  0.6837
Pd  0.4135  0.4487  0.6837
Tm  0.8568  0.2500  0.5273
Ge  0.3576  0.2500  0.3818
Ge  0.6424  0.7500  0.6182
Tm  0.1432  0.7500  0.4727
Pd  0.0865  0.4487  0.1837
Pd  0.5865  0.5513  0.3163
Ge  0.8576  0.7500  0.1182
Pd  0.5865  0.9487  0.3163
Pd  0.0865  0.0513  0.1837
Pd  0.9135  0.5513  0.8163
Tm  0.3568  0.7500  0.9727
Tm  0.6432  0.2500  0.0273
Ge  0.1424  0.2500  0.8818
Pd  0.9135  0.9487  0.8163

=====

# 3
The following is a meta-GGA SCAN calculation of a PBEsol-optimized structure of K8Au, from Alexandria via LeMat-Bulk.

Calculated values
- VASP energy (eV/atom) = -15.1178
- Fermi-level density of states (states/eV per cell) = 5.3
- SG = I4/mmm, No. 139
- ΔH_f (0 K) (eV/atom) = -0.030

Cell: 4.5258 11.0940 11.0940 Å, 87.62 78.23 78.23°
Sites, in units of the cell vectors:
K  0.3318  0.6682  0.6682
K  0.3745  0.0000  0.2509
K  0.6255  0.0000  0.7491
Au  0.0000  0.0000  0.0000
K  0.3745  0.2509  0.0000
K  0.6255  0.7491  0.0000
K  0.0000  0.3318  0.6682
K  0.6682  0.3318  0.3318
K  0.0000  0.6682  0.3318

=====

# 4
The following is a meta-GGA SCAN calculation of a PBEsol-optimized structure of SrCaAs2, from Alexandria via LeMat-Bulk.

Calculated values
- VASP energy (eV/atom) = -18.3935
- Fermi-level density of states (states/eV per cell) = 2.9
- SG = F-43m, No. 216
- ΔH_f (0 K) (eV/atom) = -0.314
- polymorph energy (0 for the lowest one) (kJ/mol of atoms) = 63.3

Cell: 5.1540 5.1540 5.1540 Å, 60.00 60.00 60.00°
Sites, in units of the cell vectors:
As  0.0000  0.0000  0.0000
As  0.7500  0.7500  0.7500
Sr  0.2500  0.2500  0.2500
Ca  0.5000  0.5000  0.5000

=====

# 5
The following is a meta-GGA SCAN calculation of a PBEsol-optimized structure of Ti2SnPbC, from Alexandria via LeMat-Bulk.

Calculated values
- VASP energy (eV/atom) = -28.4988
- Fermi-level density of states (states/eV per cell) = 4.7
- SG = P4/mmm, No. 123
- ΔH_f (0 K) (eV/atom) = 2.274

Cell: 5.1832 5.1832 5.5451 Å, 90.00 90.00 90.00°
Each line ends with the local moment (μB).
Sites, in units of the cell vectors:
C  0.5000  0.5000  0.5000  -0.90
Ti  0.0000  0.5000  0.0000  1.66
Pb  0.0000  0.0000  0.0000  0.00
Ti  0.5000  0.0000  0.0000  1.66
Sn  0.0000  0.0000  0.5000  0.10

=====

# 6
The following is a meta-GGA SCAN calculation of a PBEsol-optimized structure of LaAlI2O, from Alexandria via LeMat-Bulk.

Calculated values
- raw formation energy (eV per atom) = -1.333
- VASP energy (eV/atom) = -27.4470
- Fermi-level density of states (states/eV per cell) = 0.9
- SG = P4/mmm, No. 123

Cell: 4.2899 6.4179 6.4179 Å, 90.00 90.00 90.00°
Sites, in units of the cell vectors:
I  0.0000  0.5000  0.0000
O  0.5000  0.0000  0.0000
Al  0.5000  0.5000  0.5000
I  0.0000  0.0000  0.5000
La  0.0000  0.0000  0.0000